1.
Below is crystalline Ho12Tm7Mg at its relaxed geometry, with properties calculated at the PBE-GGA level.

Properties
The value obtained for the density of states at the Fermi level is 1.50 states/eV per atom. Its space-group type is R-3. Its formation enthalpy at 0 K is 221 meV/atom. The crystal system is trigonal. Its energy above the most stable polymorph in this dataset is 0.000 eV per atom.

abc: 8.587 8.587 8.587
angles: 86.65 86.65 86.65
Fractional positions:
Ho  0.855  0.249  0.737
Ho  0.751  0.263  0.145
Ho  0.617  0.137  0.497
Ho  0.863  0.503  0.383
Ho  0.263  0.145  0.751
Ho  0.503  0.383  0.863
Ho  0.497  0.617  0.137
Ho  0.737  0.855  0.249
Ho  0.137  0.497  0.617
Ho  0.383  0.863  0.503
Ho  0.249  0.737  0.855
Ho  0.145  0.751  0.263
Tm  0.849  0.604  0.928
Tm  0.396  0.072  0.151
Tm  0.072  0.151  0.396
Tm  0.500  0.500  0.500
Tm  0.928  0.849  0.604
Tm  0.604  0.928  0.849
Tm  0.151  0.396  0.072
Mg  0.000  0.000  0.000

2.
Below is crystalline Ho2TmMg8 at its relaxed geometry, with properties calculated at the PBE-GGA level.

Properties
The value obtained for the density of states at the Fermi level is 0.74 states/eV per atom. Its space-group type is Immm. Its formation enthalpy at 0 K is 65 meV/atom. The crystal system is orthorhombic. Its energy above the most stable polymorph in this dataset is 0.000 eV per atom.

abc: 5.276 7.802 8.402
angles: 117.66 108.30 90.00
Fractional positions:
Ho  0.214  0.714  0.427
Ho  0.786  0.286  0.573
Tm  0.500  0.000  0.000
Mg  0.634  0.824  0.267
Mg  0.366  0.557  0.733
Mg  0.152  0.152  0.304
Mg  0.000  0.294  0.000
Mg  0.848  0.848  0.696
Mg  0.634  0.443  0.267
Mg  0.366  0.176  0.733
Mg  0.000  0.706  0.000